(1)
VASP calculation (PBE-GGA) on crystalline Rb2Li3Tl12Pb at its relaxed geometry.

a = 9.5262 Å, b = 9.5262 Å, c = 23.6585 Å
α = 90.00°, β = 90.00°, γ = 120.00°
Space group R-3m (No. 166, hexagonal axes)
Inequivalent atoms, fractional coordinates:
Rb  0.0000  0.0000  0.0764 x6
Li  0.0000  0.5000  0.0000 x9
Tl  0.0770  0.5385  0.8676 x18
Tl  0.0939  0.5469  0.2752 x18
Pb  0.0000  0.0000  0.5000 x3

Summary:
Its calculated formation energy is 28.9 meV per atom.

=====

(2)
VASP calculation (PBE-GGA) on crystalline BaBeIn2Si at its relaxed geometry.

a = 6.666 Å, b = 6.666 Å, c = 5.612 Å
α = 90.00°, β = 90.00°, γ = 90.00°
Space group P4/mmm (No. 123)
Inequivalent atoms, fractional coordinates:
Ba  0.000  0.000  0.000 x1
Be  0.500  0.500  0.500 x1
In  0.000  0.500  0.000 x2
Si  0.000  0.000  0.500 x1

Summary:
For the uncorrected formation energy, the calculation gives 1602 meV/atom.